# 1
SmZrSb2 | GGA-PBE | relaxed

Values from the calculation:
Density of states at the Fermi level (states/eV per cell): 12.01
Total DFT energy (no corrections) (eV/cell): -74.3
Energy above the most stable polymorph in this dataset (eV per atom): 0.0580
Raw formation energy (kJ per mole of atoms): -78.58

Lattice parameters (Å, degrees): 4.2014 4.2014 22.3004 90.00 90.00 120.00
Closest atoms and distances in Å follow each position.
Space group R3m (No. 160, hexagonal axes)
One atom of each set of equivalent atoms:
Sm 0.0000 0.0000 0.0000 (multiplicity 3)  6 Sb 3.08-3.19
Zr 0.0000 0.0000 0.1724 (multiplicity 3)  6 Sb 2.96-3.01
Sb 0.0000 0.0000 0.4259 (multiplicity 3)  3 Zr 3.01, 3 Sm 3.19
Sb 0.0000 0.0000 0.5815 (multiplicity 3)  3 Zr 2.96, 3 Sm 3.08

=====

# 2
SmZrSb2 | GGA-PBE | relaxed

Values from the calculation:
Density of states at the Fermi level (states/eV per cell): 6.32
Total DFT energy (no corrections) (eV/cell): -75.0
Energy above the most stable polymorph in this dataset (eV per atom): 0.0000
Raw formation energy (kJ per mole of atoms): -84.18

Lattice parameters (Å, degrees): 4.2717 4.2717 21.2559 90.00 90.00 120.00
Closest atoms and distances in Å follow each position.
Space group R-3m (No. 166, hexagonal axes)
One atom of each set of equivalent atoms:
Sm 0.0000 0.0000 0.0000 (multiplicity 3)  6 Sb 3.12
Zr 0.0000 0.0000 0.5000 (multiplicity 3)  6 Sb 2.96
Sb 0.0000 0.0000 0.2436 (multiplicity 6)  3 Zr 2.96, 3 Sm 3.12

=====

# 3
SmZrSb2 | GGA-PBE | relaxed

Values from the calculation:
Density of states at the Fermi level (states/eV per cell): 4.44
Total DFT energy (no corrections) (eV/cell): -49.7
Energy above the most stable polymorph in this dataset (eV per atom): 0.0442
Raw formation energy (kJ per mole of atoms): -79.92

Lattice parameters (Å, degrees): 4.3545 4.3545 11.2372 90.00 90.00 90.00
Closest atoms and distances in Å follow each position.
Space group P4/nmm (No. 129, origin choice 2)
One atom of each set of equivalent atoms:
Sm 0.2500 0.2500 0.2188 (multiplicity 2)  8 Sb 3.26-3.28
Zr 0.2500 0.7500 0.5000 (multiplicity 2)  4 Sb 3.02, 4 Zr 3.08
Sb 0.2500 0.2500 0.6861 (multiplicity 2)  4 Zr 3.02, 4 Sm 3.26
Sb 0.2500 0.7500 0.0000 (multiplicity 2)  4 Sb 3.08, 4 Sm 3.28

=====

# 4
Sm3ZrSb4 | GGA-PBE | relaxed

Values from the calculation:
Density of states at the Fermi level (states/eV per cell): 2.88
Total DFT energy (no corrections) (eV/cell): -94.7
Raw formation energy (kJ per mole of atoms): -98.26

Lattice parameters (Å, degrees): 7.5906 8.7772 7.5683 90.00 109.54 90.00
Closest atoms and distances in Å follow each position.
Space group P2/c (No. 13)
One atom of each set of equivalent atoms:
Sm 0.0000 0.1246 0.2500 (multiplicity 2)  6 Sb 3.10-3.19
Sm 0.0000 0.3741 0.7500 (multiplicity 2)  6 Sb 3.10-3.20
Sm 0.5000 0.3744 0.2500 (multiplicity 2)  6 Sb 3.10
Zr 0.5000 0.1251 0.7500 (multiplicity 2)  6 Sb 3.00-3.01
Sb 0.2573 0.3674 0.5074 (multiplicity 4)  1 Zr 3.00, 5 Sm 3.10-3.20
Sb 0.2644 0.1175 0.0000 (multiplicity 4)  2 Zr 3.01, 4 Sm 3.10-3.19

=====

# 5
Sm2ZrSb3 | GGA-PBE | relaxed

Values from the calculation:
Density of states at the Fermi level (states/eV per cell): 4.98
Total DFT energy (no corrections) (eV/cell): -71.9
Raw formation energy (kJ per mole of atoms): -89.93

Lattice parameters (Å, degrees): 4.3609 4.3609 18.4066 90.00 90.00 90.00
Closest atoms and distances in Å follow each position.
Space group I4/mmm (No. 139)
One atom of each set of equivalent atoms:
Sm 0.0000 0.0000 0.1681 (multiplicity 4)  6 Sb 3.09-3.16
Zr 0.0000 0.0000 0.5000 (multiplicity 2)  6 Sb 2.95-3.08
Sb 0.0000 0.0000 0.0000 (multiplicity 2)  4 Zr 3.08, 2 Sm 3.09
Sb 0.0000 0.0000 0.3396 (multiplicity 4)  1 Zr 2.95, 5 Sm 3.09-3.16

=====

# 6
SmZrSb3 | GGA-PBE | relaxed

Values from the calculation:
Density of states at the Fermi level (states/eV per cell): 11.43
Total DFT energy (no corrections) (eV/cell): -117.3
Raw formation energy (kJ per mole of atoms): -71.16

Lattice parameters (Å, degrees): 13.3908 6.3556 6.4058 90.00 90.00 90.00
Closest atoms and distances in Å follow each position.
Space group Pbcm (No. 57)
One atom of each set of equivalent atoms:
Sm 0.1797 0.0127 0.2500 (multiplicity 4)  9 Sb 3.27-3.41
Zr 0.4080 0.7500 0.0000 (multiplicity 4)  6 Sb 2.90-3.00, 2 Zr 3.20
Sb 0.0035 0.7500 0.0000 (multiplicity 4)  4 Sb 3.18-3.20, 4 Sm 3.30
Sb 0.2593 0.5038 0.2500 (multiplicity 4)  2 Zr 3.00, 1 Sb 3.18, 1 Sm 3.30
Sb 0.4174 0.1294 0.2500 (multiplicity 4)  4 Zr 2.90-2.94, 1 Sb 3.18

=====

# 7
Sm5ZrSb6 | GGA-PBE | relaxed

Values from the calculation:
Density of states at the Fermi level (states/eV per cell): 5.49
Total DFT energy (no corrections) (eV/cell): -139.5
Raw formation energy (kJ per mole of atoms): -103.53

Lattice parameters (Å, degrees): 7.6398 13.2309 7.6329 90.00 109.59 90.00
Closest atoms and distances in Å follow each position.
Space group C2/m (No. 12)
One atom of each set of equivalent atoms:
Sm 0.0000 0.0000 0.0000 (multiplicity 2)  6 Sb 3.12-3.22
Sm 0.0000 0.1649 0.5000 (multiplicity 4)  6 Sb 3.12-3.13
Sm 0.0000 0.3283 0.0000 (multiplicity 4)  6 Sb 3.12-3.18
Zr 0.0000 0.5000 0.5000 (multiplicity 2)  6 Sb 3.01-3.02
Sb 0.2381 0.5000 0.2538 (multiplicity 4)  1 Zr 3.02, 5 Sm 3.13-3.22
Sb 0.2405 0.3390 0.7409 (multiplicity 8)  1 Zr 3.01, 5 Sm 3.12-3.18

=====

# 8
Sm3ZrSb5 | GGA-PBE | relaxed

Values from the calculation:
Density of states at the Fermi level (states/eV per cell): 5.04
Total DFT energy (no corrections) (eV/cell): -103.5
Raw formation energy (kJ per mole of atoms): -90.59

Lattice parameters (Å, degrees): 9.5000 9.5000 6.2460 90.00 90.00 120.00
Closest atoms and distances in Å follow each position.
Space group P6_3/mcm (No. 193)
One atom of each set of equivalent atoms:
Sm 0.0000 0.3809 0.2500 (multiplicity 6)  9 Sb 3.22-3.35
Zr 0.0000 0.0000 0.0000 (multiplicity 2)  6 Sb 2.98, 2 Zr 3.12
Sb 0.0000 0.2673 0.7500 (multiplicity 6)  2 Zr 2.98, 4 Sm 3.22-3.30
Sb 0.3333 0.6667 0.0000 (multiplicity 4)  2 Sb 3.12, 6 Sm 3.35